! Sm2Sc2SiBi PBE optimized geometry; values from VASP
! total energy	-35.4	eV for the cell shown
&SYSTEM
  ibrav = 0, nat = 6, ntyp = 4
/
ATOMIC_SPECIES
Sc 44.96 Sc.upf
Si 28.09 Si.upf
Sm 150.36 Sm.upf
Bi 208.98 Bi.upf
CELL_PARAMETERS angstrom
-2.190 2.190 8.102
2.190 -2.190 8.102
2.190 2.190 -8.102
ATOMIC_POSITIONS crystal
Sc 0.489 0.989 0.500
Si 0.877 0.877 0.000
Sm 0.331 0.331 0.000
Sm 0.687 0.687 0.000
Bi 0.128 0.128 0.000
Sc 0.989 0.489 0.500

=====

! SmScBi PBE optimized geometry; values from VASP
! total energy	-14.4	eV for the cell shown
&SYSTEM
  ibrav = 0, nat = 3, ntyp = 3
/
ATOMIC_SPECIES
Sc 44.96 Sc.upf
Sm 150.36 Sm.upf
Bi 208.98 Bi.upf
CELL_PARAMETERS angstrom
0.000 3.708 3.708
3.708 0.000 3.708
3.708 3.708 0.000
ATOMIC_POSITIONS crystal
Sc 0.750 0.750 0.750
Sm 0.000 0.000 0.000
Bi 0.250 0.250 0.250